Entry from the Alexandria database: a relaxed structure of RbIn2HgI8 (GGA-PBE).

```
12
Lattice="-2.730 6.696 2.761 -5.793 -0.005 5.133 4.500 1.807 10.916" Properties=species:S:1:pos:R:3 pbc="T T T"
Rb -2.012 4.249 9.406
In -0.954 2.121 4.761
In -3.069 6.376 14.050
Hg 0.000 0.000 0.000
I 0.871 2.016 6.821
I -2.577 4.337 5.153
I -4.894 6.482 11.990
I -5.182 6.483 7.571
I 1.159 2.015 11.240
I -5.350 2.335 7.508
I 1.327 6.163 11.303
I -1.446 4.161 13.658
```

Calculated values
Density of states at the Fermi level (states/eV per cell): 6.299
Total energy (Ry/atom): -0.1597
Formation energy from raw total energies (kJ per mole of atoms): -55.75